# PBE-GGA MgSbHI2, relaxed
# SG   P4/mmm, No. 123
# Calculated density   3.50 g/cm3
# Total magnetic moment   2.061 μB per formula unit
# Energy   -2.001 eV/atom
# D(E_F)   0.71 states/eV/atom
data_MgSbHI2
_cell_length_a 5.839
_cell_length_b 5.839
_cell_length_c 5.581
_cell_angle_alpha 90.00
_cell_angle_beta 90.00
_cell_angle_gamma 90.00
_symmetry_space_group_name_H-M 'P 1'
_symmetry_Int_Tables_number 1
loop_
_symmetry_equiv_pos_as_xyz
'x,y,z'
loop_
_atom_site_label
_atom_site_fract_x
_atom_site_fract_y
_atom_site_fract_z
I1 0.000 0.500 0.000
I2 0.500 0.000 0.000
Sb1 0.000 0.000 0.500
Mg1 0.000 0.000 0.000
H1 0.500 0.500 0.500

---

# PBE-GGA MgSb2HI, relaxed
# SG   P4/mmm, No. 123
# Calculated density   5.09 g/cm3
# Total magnetic moment   0.000 μB per formula unit
# Energy   -2.687 eV/atom
# D(E_F)   0.71 states/eV/atom
data_MgSb2HI
_cell_length_a 4.362
_cell_length_b 4.362
_cell_length_c 6.784
_cell_angle_alpha 90.00
_cell_angle_beta 90.00
_cell_angle_gamma 90.00
_symmetry_space_group_name_H-M 'P 1'
_symmetry_Int_Tables_number 1
loop_
_symmetry_equiv_pos_as_xyz
'x,y,z'
loop_
_atom_site_label
_atom_site_fract_x
_atom_site_fract_y
_atom_site_fract_z
Sb1 0.500 0.000 0.000
H1 0.000 0.000 0.000
Sb2 0.000 0.500 0.000
Mg1 0.500 0.500 0.500
I1 0.000 0.000 0.500

---

# PBE-GGA MgSb2HI, relaxed
# SG   P4/mmm, No. 123
# Calculated density   3.75 g/cm3
# Total magnetic moment   0.611 μB per formula unit
# Energy   -2.168 eV/atom
# D(E_F)   1.05 states/eV/atom
data_MgSb2HI
_cell_length_a 5.454
_cell_length_b 5.454
_cell_length_c 5.889
_cell_angle_alpha 90.00
_cell_angle_beta 90.00
_cell_angle_gamma 90.00
_symmetry_space_group_name_H-M 'P 1'
_symmetry_Int_Tables_number 1
loop_
_symmetry_equiv_pos_as_xyz
'x,y,z'
loop_
_atom_site_label
_atom_site_fract_x
_atom_site_fract_y
_atom_site_fract_z
Sb1 0.500 0.000 0.000
H1 0.500 0.500 0.500
Sb2 0.000 0.500 0.000
I1 0.000 0.000 0.500
Mg1 0.000 0.000 0.000